Computed, not measured: a relaxed LiMn2Tl crystal at the PBE level of DFT.

Computed properties:
DFT total energy in eV per atom: -5.20
Spin magnetization in μB per formula unit: 7.35

Unit cell a=3.359 b=3.359 c=6.121 alpha=90.00 beta=90.00 gamma=90.00
Fractional coordinates of all 4 atoms:
Li: 0.000 0.000 0.000
Mn: 0.500 0.500 0.222
Mn: 0.500 0.500 0.778
Tl: 0.000 0.000 0.500